# 1
DFT (PBE) results for a relaxed structure of Dy2GaBRh6.

Cell and atoms, written as CIF:
```
data_Dy2GaBRh6
_cell_length_a 8.7626
_cell_length_b 8.7626
_cell_length_c 8.7626
_cell_angle_alpha 90.00
_cell_angle_beta 90.00
_cell_angle_gamma 90.00
_symmetry_space_group_name_H-M 'F m -3 m'
_symmetry_Int_Tables_number 225
_symmetry_space_group_name_Hall '-F 4 2 3'
loop_
_atom_site_label
_atom_site_type_symbol
_atom_site_fract_x
_atom_site_fract_y
_atom_site_fract_z
Dy1 Dy 0.2500 0.2500 0.2500
Ga1 Ga 0.0000 0.0000 0.0000
B1 B 0.0000 0.0000 0.5000
Rh1 Rh 0.0000 0.0000 0.2675
```

# 2
DFT (PBE) results for a relaxed structure of Dy2GaB2Ru5.

Cell and atoms, written as CIF:
```
data_Dy2GaB2Ru5
_cell_length_a 9.5734
_cell_length_b 9.5734
_cell_length_c 3.1232
_cell_angle_alpha 90.00
_cell_angle_beta 90.00
_cell_angle_gamma 90.00
_symmetry_space_group_name_H-M 'P 4/m b m'
_symmetry_Int_Tables_number 127
_symmetry_space_group_name_Hall '-P 4 2ab'
loop_
_atom_site_label
_atom_site_type_symbol
_atom_site_fract_x
_atom_site_fract_y
_atom_site_fract_z
Dy1 Dy 0.1762 0.3238 0.0000
Ga1 Ga 0.0000 0.0000 0.0000
B1 B 0.1242 0.6242 0.0000
Ru1 Ru 0.0000 0.5000 0.5000
Ru2 Ru 0.0690 0.7817 0.5000
```

# 3
DFT (PBE) results for a relaxed structure of Dy3Ga2BRu3.

Cell and atoms, written as CIF:
```
data_Dy3Ga2BRu3
_cell_length_a 7.2389
_cell_length_b 7.2389
_cell_length_c 3.4793
_cell_angle_alpha 90.00
_cell_angle_beta 90.00
_cell_angle_gamma 120.00
_symmetry_space_group_name_H-M 'P -6 2 m'
_symmetry_Int_Tables_number 189
_symmetry_space_group_name_Hall 'P -6 -2'
loop_
_atom_site_label
_atom_site_type_symbol
_atom_site_fract_x
_atom_site_fract_y
_atom_site_fract_z
Dy1 Dy 0.0000 0.6356 0.0000
Ga1 Ga 0.3333 0.6667 0.5000
B1 B 0.0000 0.0000 0.0000
Ru1 Ru 0.0000 0.2277 0.5000
```

# 4
DFT (PBE) results for a relaxed structure of DyGaBRu2.

Cell and atoms, written as CIF:
```
data_DyGaBRu2
_cell_length_a 4.0263
_cell_length_b 10.9898
_cell_length_c 7.3716
_cell_angle_alpha 90.00
_cell_angle_beta 90.00
_cell_angle_gamma 90.00
_symmetry_space_group_name_H-M 'C m c m'
_symmetry_Int_Tables_number 63
_symmetry_space_group_name_Hall '-C 2c 2'
loop_
_atom_site_label
_atom_site_type_symbol
_atom_site_fract_x
_atom_site_fract_y
_atom_site_fract_z
Dy1 Dy 0.0000 0.0468 0.2500
Ga1 Ga 0.0000 0.2292 0.7500
B1 B 0.0000 0.5000 0.0000
Ru1 Ru 0.0000 0.3279 0.0590
```

We obtain size of the total moment values of 0.000; 0.000; 0.000; 0.000 μB/atom for the records listed above, in that order.
We obtain formation energy values of -13.39; -10.69; -10.70; -9.89 kcal/mol of atoms for the records listed above, in that order.